Below is a geometry-optimized PuBe2Ni2O6 structure, with properties calculated at the PBE with a Hubbard U level.

Properties
Calculated total energy = -78.0 eV/cell
ρ = 6.134 Mg/m³
Total moment = 8.000 μB/cell
Calculated volume = 11.70 A^3/atom

```
data_PuBe2Ni2O6
_chemical_formula_sum 'Pu1 Be2 Ni2 O6'
_space_group_name_H-M_alt 'P -3'
_space_group_IT_number 147
_cell_length_a 5.1667
_cell_length_b 5.1667
_cell_length_c 5.5665
_cell_angle_alpha 90.00
_cell_angle_beta 90.00
_cell_angle_gamma 120.00
loop_
_space_group_symop_operation_xyz
'x,y,z'
'-x,-y,-z'
'-y,x-y,z'
'y,-x+y,-z'
'-x+y,-x,z'
'x-y,x,-z'
loop_
_atom_site_label
_atom_site_type_symbol
_atom_site_fract_x
_atom_site_fract_y
_atom_site_fract_z
Pu1 Pu 0.0000 0.0000 0.0000
Be1 Be 0.3333 0.6667 0.7913
Ni1 Ni 0.3333 0.6667 0.3562
O1 O 0.0357 0.6663 0.7620
```